This record from Alexandria describes a relaxed structure of Ce3Pr2YTe6. The functional is PBE.

The structure in POSCAR format:
```
Ce3Pr2YTe6
1.0
-0.504 -7.595 1.433
5.704 4.174 3.167
-5.997 2.528 4.315
Ce Pr Y Te
3 2 1 6
Cartesian
1.639 3.416 5.026
-2.436 -4.309 3.888
-0.398 -0.447 4.457
1.571 -3.662 2.013
3.630 0.241 2.588
0.000 0.000 0.000
0.800 1.701 2.469
0.421 1.232 7.009
-1.218 -2.125 1.906
2.440 -1.962 4.582
-3.237 1.069 4.333
-1.597 -2.594 6.445
```

Summary:
Its spin magnetization is 3.5 μB per formula unit. The calculation puts the formation energy (no corrections) at -16.67 eV/f.u. The value obtained for the density is 6.75 g/cm³.

---

This record from Alexandria describes a relaxed structure of PmGa4Ni. The functional is PBE.

The structure in POSCAR format:
```
PmGa4Ni
1.0
4.017 0.000 -1.042
0.000 6.622 0.000
-0.049 0.000 8.074
Ga Ni Pm
8 2 2
Cartesian
1.224 0.351 4.717
2.009 0.000 -0.521
3.678 1.656 5.916
2.009 3.311 -0.521
0.289 4.967 1.116
2.744 3.662 2.315
2.744 6.271 2.315
1.224 2.960 4.717
0.879 4.967 3.389
3.089 1.656 3.642
0.455 1.656 1.753
3.513 4.967 5.279
```

Summary:
The energy of formation from the pure elements is -553 meV per atom. Its spin magnetization is 0.0 μB per formula unit. The value obtained for the density is 7.47 g/cm³. The energy above the most stable polymorph in this dataset comes out at 0.0 meV/atom.

---

This record from Alexandria describes a relaxed structure of PuFeGe3Rh. The functional is PBE.

The structure in POSCAR format:
```
PuFeGe3Rh
1.0
5.725 0.000 0.000
0.000 7.450 0.000
0.000 -3.725 5.540
Pu Rh Fe Ge
2 2 2 6
Cartesian
1.431 3.725 2.751
4.294 0.000 2.789
1.431 0.000 4.979
4.294 3.725 0.561
1.431 0.000 0.468
4.294 3.725 5.072
1.431 0.000 2.651
0.000 1.793 0.000
2.863 1.793 0.000
0.000 5.657 0.000
2.863 5.657 0.000
4.294 3.725 2.889
```

Summary:
The energy of formation from the pure elements is -168 meV per atom. Its spin magnetization is 6.7 μB per formula unit. The value obtained for the density is 8.72 g/cm³.

---

This record from Alexandria describes a relaxed structure of Zr2NbMo. The functional is PBE.

The structure in POSCAR format:
```
Zr2NbMo
1.0
-5.757 -3.344 3.437
3.571 -6.574 -0.414
0.152 -4.445 4.097
Mo Zr Nb
2 4 2
Cartesian
0.000 0.000 0.000
-3.349 -6.374 4.523
-3.186 -4.065 3.164
-1.753 -12.095 5.713
1.623 -5.596 1.152
-0.750 -6.971 4.212
1.315 -7.989 2.597
-1.093 -4.959 1.511
```

Summary:
The energy of formation from the pure elements is 571 meV per atom. Its spin magnetization is 0.0 μB per formula unit. The value obtained for the density is 7.53 g/cm³. The energy above the most stable polymorph in this dataset comes out at 488.8 meV/atom.

---

This record from Alexandria describes a relaxed structure of TbGdMo4. The functional is PBE.

The structure in POSCAR format:
```
TbGdMo4
1.0
5.534 0.000 0.000
2.767 4.792 0.000
2.767 1.597 4.518
Mo Gd Tb
4 1 1
Cartesian
6.917 3.993 2.824
5.534 1.598 2.824
5.534 3.195 0.566
4.151 3.993 2.824
2.767 1.597 1.130
0.000 0.000 0.000
```

Summary:
The energy of formation from the pure elements is 138 meV per atom. Its spin magnetization is 7.4 μB per formula unit. The value obtained for the density is 9.70 g/cm³.

---

This record from Alexandria describes a relaxed structure of TlAgAs. The functional is PBE.

The structure in POSCAR format:
```
TlAgAs
1.0
4.456 0.000 0.000
-2.228 3.859 0.000
0.000 0.000 4.472
As Tl Ag
1 1 1
Cartesian
0.000 2.573 0.744
2.228 1.286 2.982
0.000 0.000 0.747
```

Summary:
The energy of formation from the pure elements is 135 meV per atom. Its spin magnetization is 0.0 μB per formula unit. The value obtained for the density is 8.36 g/cm³. The energy above the most stable polymorph in this dataset comes out at 62.7 meV/atom.

---

This record from Alexandria describes a relaxed structure of Ga6CoNi8. The functional is PBE.

The structure in POSCAR format:
```
Ga6CoNi8
1.0
-5.792 2.215 2.954
-6.038 -2.727 -1.809
-3.458 -3.568 3.883
Co Ni Ga
1 8 6
Cartesian
0.000 0.000 0.000
-3.943 -0.176 0.387
-11.345 -3.904 4.640
-9.578 -3.500 2.512
-5.651 -3.358 2.106
-7.459 -0.966 4.678
-7.829 -3.114 0.349
-9.637 -0.723 2.921
-5.710 -0.580 2.515
-7.595 -4.769 2.030
-5.460 -2.216 4.211
-7.692 0.689 2.997
-9.416 -2.359 4.621
-5.872 -1.721 0.406
-9.828 -1.864 0.816
```

Summary:
The energy of formation from the pure elements is -152 meV per atom. Its spin magnetization is 0.0 μB per formula unit. The value obtained for the density is 7.85 g/cm³.

---

This record from Alexandria describes a relaxed structure of Pu2AlZn4Cu3. The functional is PBE.

The structure in POSCAR format:
```
Pu2AlZn4Cu3
1.0
-2.386 2.910 1.252
-2.990 -2.586 0.313
2.984 -2.157 10.696
Zn Cu Al Pu
4 3 1 2
Cartesian
-2.688 0.162 0.783
-0.428 -2.064 3.981
0.724 0.069 7.498
0.000 0.000 0.000
1.376 -0.402 9.835
-1.080 -1.593 1.644
1.492 -1.078 5.348
-1.196 -0.917 6.131
0.767 -2.928 8.263
-0.470 0.933 3.216
```

Summary:
The energy of formation from the pure elements is -85 meV per atom. Its spin magnetization is 11.1 μB per formula unit. The value obtained for the density is 9.03 g/cm³.